(1)
# YLuGe

YLuGe after structural relaxation (PBE, the Open Quantum Materials Database).

a = 6.8236 Å, b = 6.8236 Å, c = 6.8236 Å
α = 90.00°, β = 90.00°, γ = 90.00°
Last column: nearest neighbours and their distance in Å.
Space group F-43m (No. 216)
Asymmetric unit:
1 Y 0.0000 0.0000 0.0000 [4 per cell]  4 Ge 2.95
2 Lu 0.0000 0.0000 0.5000 [4 per cell]  4 Ge 2.95
3 Ge 0.2500 0.2500 0.7500 [4 per cell]  4 Y 2.95, 4 Lu 2.95

Computed properties:
DFT total energy in eV/atom: -5.725
Distance to the lowest polymorph of the same formula in kJ/mol of atoms: 0.0

***

(2)
# LiInAsIr

LiInAsIr after structural relaxation (PBE, the Open Quantum Materials Database).

a = 6.4019 Å, b = 6.4019 Å, c = 6.4019 Å
α = 90.00°, β = 90.00°, γ = 90.00°
Last column: nearest neighbours and their distance in Å.
Space group F-43m (No. 216)
Asymmetric unit:
1 Li 0.0000 0.0000 0.0000 [4 per cell]  4 In 2.77, 4 As 2.77
2 In 0.2500 0.2500 0.7500 [4 per cell]  4 Li 2.77, 4 Ir 2.77
3 As 0.2500 0.2500 0.2500 [4 per cell]  4 Li 2.77, 4 Ir 2.77
4 Ir 0.0000 0.0000 0.5000 [4 per cell]  4 As 2.77, 4 In 2.77

Computed properties:
DFT total energy in eV/atom: -4.741
Distance to the lowest polymorph of the same formula in kJ/mol of atoms: 0.0

***

(3)
# TlCdCuNi

TlCdCuNi after structural relaxation (PBE, the Open Quantum Materials Database).

a = 6.4182 Å, b = 6.4182 Å, c = 6.4182 Å
α = 90.00°, β = 90.00°, γ = 90.00°
Last column: nearest neighbours and their distance in Å.
Space group F-43m (No. 216)
Asymmetric unit:
1 Tl 0.0000 0.0000 0.0000 [4 per cell]  4 Ni 2.78, 4 Cu 2.78
2 Cd 0.0000 0.0000 0.5000 [4 per cell]  4 Ni 2.78, 4 Cu 2.78
3 Cu 0.2500 0.2500 0.2500 [4 per cell]  4 Cd 2.78, 4 Tl 2.78
4 Ni 0.2500 0.2500 0.7500 [4 per cell]  4 Cd 2.78, 4 Tl 2.78

Computed properties:
DFT total energy in eV/atom: -2.946
Distance to the lowest polymorph of the same formula in kJ/mol of atoms: 0.0